(1)
Entry from the Alexandria database: a geometry-optimized UFeTcSb structure (PBE).

Output
Raw total energy, eV/atom: -8.520
Formation energy from raw total energies, eV per formula unit: 0.2

a = 6.575 Å, b = 6.575 Å, c = 6.575 Å
α = 90.00°, β = 90.00°, γ = 90.00°
Space group F-43m (No. 216)
Inequivalent atoms, fractional coordinates:
U: 0.000 0.000 0.000 [4 per cell]
Fe: 0.250 0.250 0.250 [4 per cell]
Tc: 0.250 0.250 0.750 [4 per cell]
Sb: 0.000 0.000 0.500 [4 per cell]

---

(2)
Entry from the Alexandria database: a geometry-optimized Bi2Ir2Pb structure (PBE).

Output
Formation enthalpy at 0 K, eV per atom: 0.337
Raw total energy, eV/atom: -5.501
Polymorph energy (0 for the lowest one), meV/atom: 0

a = 8.210 Å, b = 8.210 Å, c = 3.354 Å
α = 90.00°, β = 90.00°, γ = 90.00°
Space group P4/mbm (No. 127)
Inequivalent atoms, fractional coordinates:
Bi: 0.154 0.346 0.000 [4 per cell]
Ir: 0.133 0.633 0.500 [4 per cell]
Pb: 0.000 0.000 0.500 [2 per cell]

---

(3)
Entry from the Alexandria database: a geometry-optimized CsTl4HgAu2 structure (PBE).

Output
Formation enthalpy at 0 K, eV per atom: -0.088
Raw total energy, eV/atom: -2.235

a = 5.162 Å, b = 5.162 Å, c = 9.611 Å
α = 90.00°, β = 90.00°, γ = 90.00°
Space group P4/mmm (No. 123)
Inequivalent atoms, fractional coordinates:
Cs: 0.000 0.000 0.000 [1 per cell]
Tl: 0.000 0.500 0.314 [4 per cell]
Hg: 0.000 0.000 0.500 [1 per cell]
Au: 0.500 0.500 0.148 [2 per cell]

---

(4)
Entry from the Alexandria database: a geometry-optimized Ac2Tl3Sn3 structure (PBE).

Output
Formation enthalpy at 0 K, eV per atom: -0.415
Raw total energy, eV/atom: -3.831

a = 4.876 Å, b = 4.995 Å, c = 10.072 Å
α = 90.00°, β = 90.00°, γ = 90.00°
Space group Pmmm (No. 47)
Inequivalent atoms, fractional coordinates:
Ac: 0.000 0.000 0.245 [2 per cell]
Tl: 0.000 0.500 0.500 [1 per cell]
Tl: 0.500 0.500 0.249 [2 per cell]
Sn: 0.000 0.500 0.000 [1 per cell]
Sn: 0.500 0.000 0.000 [1 per cell]
Sn: 0.500 0.000 0.500 [1 per cell]

---

(5)
Entry from the Alexandria database: a geometry-optimized Pm2PrUN4 structure (PBE).

Output
Raw total energy, eV/atom: -8.776
Formation energy from raw total energies, eV per formula unit: -11.3

a = 6.156 Å, b = 3.579 Å, c = 6.206 Å
α = 90.00°, β = 109.20°, γ = 90.00°
Space group P2/m (No. 10)
Inequivalent atoms, fractional coordinates:
Pm: 0.000 0.000 0.000 [1 per cell]
Pm: 0.000 0.500 0.500 [1 per cell]
Pr: 0.500 0.000 0.500 [1 per cell]
U: 0.500 0.500 0.000 [1 per cell]
N: 0.273 0.500 0.218 [2 per cell]
N: 0.279 0.000 0.783 [2 per cell]

---

(6)
Entry from the Alexandria database: a geometry-optimized PrGa3NiPd structure (PBE).

Output
Formation enthalpy at 0 K, eV per atom: -0.482
Raw total energy, eV/atom: -4.621

a = 6.152 Å, b = 12.145 Å, c = 6.004 Å
α = 90.00°, β = 90.00°, γ = 90.00°
Space group Cmcm (No. 63)
Inequivalent atoms, fractional coordinates:
Pr: 0.000 0.230 0.250 [4 per cell]
Ga: 0.000 0.352 0.750 [4 per cell]
Ga: 0.212 0.000 0.000 [8 per cell]
Ni: 0.000 0.450 0.250 [4 per cell]
Pd: 0.000 0.145 0.750 [4 per cell]

---

no.,density of states at the Fermi level (states/eV per atom)
1,1.75
2,0.92
3,0.45
4,0.71
5,0.66
6,0.50